[1]
The following is a DFT calculation (PBE) of a relaxed Pm4SmSb5 crystal.

Cell and atoms, written as POSCAR:
```
Pm4SmSb5
1.0
4.410 0.000 -0.851
-0.327 6.103 -1.694
0.002 -0.001 11.867
Pm Sm Sb
4 1 5
Cartesian
1.635 2.441 8.477
3.269 4.883 5.089
0.817 1.219 4.234
2.450 3.661 0.846
0.000 0.000 0.000
2.612 0.607 1.684
3.431 1.830 5.930
0.654 4.272 3.392
-0.163 3.052 -0.847
1.474 5.495 7.639
```

Calculated values
uncorrected formation energy: -1.186 eV per atom
total moment: 0.00 μB per formula unit
space group: Immm

[2]
The following is a DFT calculation (PBE) of a relaxed BaCd3Ge crystal.

Cell and atoms, written as POSCAR:
```
BaCd3Ge
1.0
6.500 0.000 0.000
0.000 6.500 0.000
0.000 0.000 6.500
Ge Ba Cd
1 1 3
Cartesian
3.250 3.250 3.250
0.000 0.000 0.000
0.000 3.250 0.000
0.000 0.000 3.250
3.250 0.000 0.000
```

Calculated values
total moment: 2.41 μB per formula unit
energy relative to the elements: 93.5 kJ per mole of atoms
offset from the most stable computed form: 1.265 eV/atom
space group: Pm-3m

[3]
The following is a DFT calculation (PBE) of a relaxed HoTlBi2 crystal.

Cell and atoms, written as POSCAR:
```
HoTlBi2
1.0
4.361 0.000 0.000
2.181 3.777 0.000
2.181 1.259 8.284
Tl Bi Ho
1 2 1
Cartesian
4.361 2.518 4.142
2.181 1.259 1.900
6.542 3.777 6.384
0.000 0.000 0.000
```

Calculated values
total moment: 0.00 μB per formula unit
energy relative to the elements: -18.2 kJ per mole of atoms
offset from the most stable computed form: 0.177 eV/atom
space group: R-3m

[4]
The following is a DFT calculation (PBE) of a relaxed LiIn2Hg5Pb2 crystal.

Cell and atoms, written as POSCAR:
```
LiIn2Hg5Pb2
1.0
-3.632 -0.405 -0.215
1.464 -11.468 -3.107
-0.331 -3.169 11.540
Li In Hg Pb
2 4 10 4
Cartesian
0.000 0.000 0.000
0.566 -7.318 4.216
0.001 -3.736 7.009
1.132 -10.901 1.423
0.665 -10.123 7.833
0.468 -4.514 0.599
-1.549 -2.385 -0.513
-0.951 -12.657 8.730
-2.063 -2.953 9.237
-0.972 -9.609 3.357
-0.436 -12.089 -1.020
-1.527 -5.433 4.860
-1.289 -8.283 6.211
-1.210 -6.759 2.007
-1.084 -5.937 -1.661
-1.982 -1.787 5.662
0.919 -8.153 -0.160
0.214 -6.484 8.593
0.131 -2.956 3.350
1.002 -11.681 5.083
```

Calculated values
total moment: 0.00 μB per formula unit
energy relative to the elements: -3.7 kJ per mole of atoms
space group: P4/mbm

[5]
The following is a DFT calculation (PBE) of a relaxed Er2Si4Ir3 crystal.

Cell and atoms, written as POSCAR:
```
Er2Si4Ir3
1.0
5.499 -0.120 0.000
-2.662 4.813 0.000
-1.419 -2.347 5.902
Er Si Ir
2 4 3
Cartesian
1.419 2.347 1.579
0.000 0.000 4.323
-2.659 1.608 4.008
2.659 -1.608 4.008
4.078 0.739 1.895
-1.241 3.954 1.895
2.750 -0.060 0.000
0.000 0.000 0.000
-1.331 2.407 0.000
```

Calculated values
uncorrected formation energy: -0.751 eV per atom
total moment: 0.00 μB per formula unit
offset from the most stable computed form: 0.200 eV/atom
space group: Fmmm

[6]
The following is a DFT calculation (PBE) of a relaxed CaIn4Rh4 crystal.

Cell and atoms, written as POSCAR:
```
CaIn4Rh4
1.0
-4.777 -2.561 3.006
3.826 -1.835 4.518
-1.499 8.191 4.597
Ca In Rh
2 8 8
Cartesian
0.000 0.000 0.000
-1.225 1.897 6.060
-0.383 5.028 6.619
-2.960 3.647 8.240
0.253 -1.038 5.909
-1.810 -0.048 3.472
2.348 1.100 4.669
0.585 1.945 2.588
-2.341 5.060 4.038
-4.541 3.880 5.422
-0.752 4.763 9.254
-2.939 5.812 6.671
-1.970 -2.225 5.017
0.761 -0.761 3.298
-1.986 2.658 2.762
-4.032 1.561 4.049
0.215 4.276 3.985
1.854 3.490 5.920
```

Calculated values
total moment: 0.00 μB per formula unit
energy relative to the elements: -29.4 kJ per mole of atoms
space group: P4_2/nmc

[7]
The following is a DFT calculation (PBE) of a relaxed NaTb2TcO6 crystal.

Cell and atoms, written as POSCAR:
```
NaTb2TcO6
1.0
5.652 0.000 0.000
2.826 4.895 0.000
2.826 1.632 4.990
Na Tb Tc O
1 2 1 6
Cartesian
8.478 4.895 2.972
5.652 3.263 2.091
2.826 1.632 4.693
2.826 1.632 0.170
4.534 1.493 1.175
4.678 5.116 1.175
7.744 3.180 1.175
6.398 4.607 3.858
6.442 1.945 3.858
4.114 3.238 3.858
```

Calculated values
uncorrected formation energy: -2.480 eV per atom
total moment: 2.00 μB per formula unit
space group: R3

[8]
The following is a DFT calculation (PBE) of a relaxed PrNd4Y crystal.

Cell and atoms, written as POSCAR:
```
PrNd4Y
1.0
6.739 0.000 0.000
3.370 5.836 0.000
3.370 1.945 5.502
Pr Y Nd
1 1 4
Cartesian
3.370 1.945 1.376
0.000 0.000 0.000
6.739 3.891 0.675
6.739 1.933 3.443
8.435 4.870 3.443
5.044 4.870 3.443
```

Calculated values
total moment: 0.00 μB per formula unit
energy relative to the elements: 23.0 kJ per mole of atoms
offset from the most stable computed form: 0.227 eV/atom
space group: F-43m

[9]
The following is a DFT calculation (PBE) of a relaxed Er3PtPbS crystal.

Cell and atoms, written as POSCAR:
```
Er3PtPbS
1.0
-0.804 -4.061 -1.768
6.280 0.376 -3.721
1.215 -4.052 8.755
Er Pt Pb S
6 2 2 2
Cartesian
5.116 -2.696 1.001
5.378 -3.139 -3.834
2.509 -3.466 -1.775
1.575 -5.041 2.266
4.182 -4.271 5.042
1.313 -4.599 7.100
4.554 -1.360 -1.812
2.136 -6.377 5.079
4.904 -5.717 2.305
1.786 -2.020 0.962
1.523 -3.515 4.515
5.168 -4.223 -1.248
```

Calculated values
uncorrected formation energy: -1.059 eV per atom
total moment: 0.00 μB per formula unit
space group: P2_1/m

[10]
The following is a DFT calculation (PBE) of a relaxed Dy2ThP3Rh12 crystal.

Cell and atoms, written as POSCAR:
```
Dy2ThP3Rh12
1.0
6.513 -1.402 -0.995
1.997 6.355 -0.995
1.997 1.162 6.327
Dy Th P Rh
2 1 3 12
Cartesian
6.579 3.829 2.716
3.928 2.286 1.622
0.000 0.000 0.000
3.256 -0.701 -0.497
0.999 3.178 -0.497
0.999 0.581 3.163
4.949 2.881 5.021
7.650 4.453 0.519
5.484 5.683 4.031
7.393 1.493 1.059
7.650 1.962 4.031
4.949 5.691 1.059
5.557 3.235 -0.683
2.856 1.663 3.819
5.023 0.432 0.307
3.114 4.623 3.279
2.856 4.154 0.307
5.557 0.425 3.279
```

Calculated values
total moment: 0.00 μB per formula unit
energy relative to the elements: -43.1 kJ per mole of atoms
space group: R-3m

[11]
The following is a DFT calculation (PBE) of a relaxed SrAgP2 crystal.

Cell and atoms, written as POSCAR:
```
SrAgP2
1.0
4.382 0.136 0.014
1.624 4.072 0.014
3.293 2.307 5.151
Ag P Sr
1 2 1
Cartesian
3.826 2.681 1.301
6.172 4.324 0.560
1.480 1.037 2.043
5.473 3.835 3.877
```

Calculated values
total moment: 0.00 μB per formula unit
energy relative to the elements: -34.4 kJ per mole of atoms
space group: C2/m

[12]
The following is a DFT calculation (PBE) of a relaxed TbErIrPd crystal.

Cell and atoms, written as POSCAR:
```
TbErIrPd
1.0
4.887 0.000 0.000
2.443 4.232 0.000
2.443 1.411 3.990
Ir Tb Pd Er
1 1 1 1
Cartesian
7.330 4.232 2.992
4.887 2.821 1.995
2.443 1.411 0.997
0.000 0.000 0.000
```

Calculated values
total moment: 0.00 μB per formula unit
energy relative to the elements: -88.2 kJ per mole of atoms
space group: F-43m